# CaBe2Mo | Alexandria | PBE | relaxed
data_CaBe2Mo
_chemical_formula_sum 'Ca3 Be6 Mo3'
_space_group_name_H-M_alt 'R -3 m'
_space_group_IT_number 166
_space_group_name_Hall '-R 3 2"'
_cell_length_a 2.9664
_cell_length_b 2.9664
_cell_length_c 25.4687
_cell_angle_alpha 90.00
_cell_angle_beta 90.00
_cell_angle_gamma 120.00
loop_
_atom_site_label
_atom_site_fract_x
_atom_site_fract_y
_atom_site_fract_z
_atom_site_occupancy
Ca1 0.0000 0.0000 0.0000 1
Be1 0.0000 0.0000 0.2387 1
Mo1 0.0000 0.0000 0.5000 1
# Theoretical density   3.954 g/cm3
# Total magnetization   0.000 μB/f.u.
# Energy relative to the elements   0.7572 eV/atom